Compound: TaSe2Cl
Source: Alexandria via LeMat-Bulk
Functional: PBE-GGA
Structure: optimized geometry

Unit cell a=3.521 b=3.521 c=8.115 alpha=92.71 beta=92.71 gamma=59.78
Positions (direct):
Ta (0.000, 0.000, 0.000)
Se (0.321, 0.321, 0.796)
Se (0.679, 0.679, 0.204)
Cl (0.500, 0.500, 0.500)

Properties
energy relative to the lowest polymorph listed for this composition = 268 meV/atom
D(E_F) = 1.06 states/eV per cell
formation energy without anion corrections = -0.535 eV per atom
magnetic moment = 0.00 μB per atom

Compound: TaSeCl
Source: Alexandria via LeMat-Bulk
Functional: PBE-GGA
Structure: optimized geometry

Unit cell a=7.253 b=7.253 c=7.253 alpha=154.97 beta=154.97 gamma=35.69
Positions (direct):
Ta (0.000, 0.000, 0.000)
Se (0.393, 0.393, 0.000)
Cl (0.616, 0.616, 0.000)

Properties
D(E_F) = 1.18 states/eV per cell
formation energy without anion corrections = -0.644 eV per atom
magnetic moment = 0.00 μB per atom

> D(E_F) of number 2 (TaSeCl)?

1.18 states/eV per cell

> What is the D(E_F) in the first record?

1.06 states/eV per cell